[1]
# K2Ge3Au6

An optimized crystal structure of K2Ge3Au6 (PBE-GGA, the Alexandria database).

Summary:
energy of formation from the pure elements	-1.7	eV per formula unit

a = 7.8974 Å, b = 7.8974 Å, c = 4.7157 Å
α = 90.00°, β = 90.00°, γ = 120.00°
Last column: nearest neighbours and their distance in Å.
Space group P-62m (No. 189)
Unique sites:
K 0.3333 0.6667 0.0000 [2 per cell]  9 Au 3.22-3.56, 6 Ge 3.50
Ge 0.0000 0.3454 0.5000 [3 per cell]  5 Au 2.58-2.65
Au 0.0000 0.2116 0.0000 [3 per cell]  2 Ge 2.58, 2 Au 2.89
Au 0.0000 0.6748 0.5000 [3 per cell]  3 Ge 2.60-2.65


[2]
# CaP2NO

An optimized crystal structure of CaP2NO (PBE-GGA, the Alexandria database).

Summary:
energy above the most stable polymorph in this dataset	0	meV per atom
uncorrected formation energy	0.04	eV/atom

a = 3.6111 Å, b = 3.6111 Å, c = 6.4067 Å
α = 90.00°, β = 90.00°, γ = 90.00°
Last column: nearest neighbours and their distance in Å.
Space group P4/mmm (No. 123)
Unique sites:
Ca 0.0000 0.0000 0.0000 [1 per cell]  4 O 2.55
P 0.0000 0.5000 0.5000 [2 per cell]  2 N 1.81
N 0.5000 0.5000 0.5000 [1 per cell]  4 P 1.81
O 0.5000 0.5000 0.0000 [1 per cell]  4 Ca 2.55


[3]
# IrRhOF2

An optimized crystal structure of IrRhOF2 (PBE-GGA, the Alexandria database).

Summary:
energy above the most stable polymorph in this dataset	298	meV per atom
uncorrected formation energy	0.27	eV/atom

a = 4.3979 Å, b = 4.3979 Å, c = 3.6749 Å
α = 90.00°, β = 90.00°, γ = 90.00°
Last column: nearest neighbours and their distance in Å.
Space group P4/mmm (No. 123)
Unique sites:
Ir 0.0000 0.0000 0.0000 [1 per cell]  8 F 2.87, 4 O 3.11
Rh 0.5000 0.5000 0.5000 [1 per cell]  2 O 1.84
O 0.5000 0.5000 0.0000 [1 per cell]  2 Rh 1.84
F 0.0000 0.5000 0.5000 [2 per cell]  2 Rh 2.20


[4]
# BaBeAlAu6

An optimized crystal structure of BaBeAlAu6 (PBE-GGA, the Alexandria database).

Summary:
energy of formation from the pure elements	-2.2	eV per formula unit

a = 8.6192 Å, b = 8.8693 Å, c = 11.1882 Å
α = 90.00°, β = 90.00°, γ = 90.00°
Last column: nearest neighbours and their distance in Å.
Space group Imma (No. 74)
Unique sites:
Ba 0.0000 0.2500 0.1066 [4 per cell]  6 Au 3.26-3.43
Be 0.2500 0.2500 0.7500 [4 per cell]  6 Au 2.28-2.31
Al 0.0000 0.0000 0.5000 [4 per cell]  6 Au 2.49-2.54
Au 0.0000 0.2500 0.3985 [4 per cell]  2 Al 2.49
Au 0.0000 0.2500 0.8156 [4 per cell]  2 Be 2.28
Au 0.2443 0.0457 0.6215 [16 per cell]  1 Be 2.31, 1 Al 2.54


[5]
# Ce5ZnGe3

An optimized crystal structure of Ce5ZnGe3 (PBE-GGA, the Alexandria database).

Summary:
energy of formation from the pure elements	-5.2	eV per formula unit

a = 9.0137 Å, b = 9.0137 Å, c = 6.2471 Å
α = 90.00°, β = 90.00°, γ = 120.00°
Last column: nearest neighbours and their distance in Å.
Space group P6_3/mcm (No. 193)
Unique sites:
Ce 0.0000 0.2957 0.2500 [6 per cell]  5 Ge 3.01-3.18, 2 Zn 3.09
Ce 0.3333 0.6667 0.0000 [4 per cell]  2 Ce 3.12, 6 Ge 3.28
Zn 0.0000 0.0000 0.0000 [2 per cell]  6 Ce 3.09, 2 Zn 3.12
Ge 0.0000 0.3619 0.7500 [6 per cell]  9 Ce 3.01-3.28


[6]
# Ca6AsP2

An optimized crystal structure of Ca6AsP2 (PBE-GGA, the Alexandria database).

Summary:
energy of formation from the pure elements	-7.7	eV per formula unit

a = 14.1624 Å, b = 5.3597 Å, c = 9.5138 Å
α = 90.00°, β = 125.05°, γ = 90.00°
Last column: nearest neighbours and their distance in Å.
Space group C2/m (No. 12)
Unique sites:
Ca 0.0432 0.0000 0.2232 [4 per cell]  2 P 2.81-2.84, 1 As 3.03
Ca 0.1451 0.5000 0.5583 [4 per cell]  1 P 2.82
Ca 0.2436 0.5000 0.1341 [4 per cell]  3 P 2.79-2.90
As 0.0000 0.0000 0.5000 [2 per cell]  8 Ca 3.03-3.28
P 0.1773 0.0000 0.0878 [4 per cell]  6 Ca 2.79-2.90


[7]
# Na8B11C5

An optimized crystal structure of Na8B11C5 (PBE-GGA, the Alexandria database).

Summary:
energy above the most stable polymorph in this dataset	25	meV per atom
energy of formation from the pure elements	3.0	eV per formula unit

a = 5.6334 Å, b = 8.5790 Å, c = 5.1354 Å
α = 90.00°, β = 90.00°, γ = 90.00°
Last column: nearest neighbours and their distance in Å.
Space group Pmm2 (No. 25)
Unique sites:
Na 0.0000 0.2463 0.0000 [2 per cell]  8 B 2.67-2.82, 4 C 2.68-2.73, 6 Na 2.82-2.93
Na 0.2499 0.2486 0.4995 [4 per cell]  9 B 2.67-2.86, 3 C 2.68-2.76, 6 Na 2.82-2.94
Na 0.5000 0.2499 0.0019 [2 per cell]  7 B 2.65-2.80, 5 C 2.68-2.76, 6 Na 2.82-2.94
B 0.0000 0.0000 0.3463 [1 per cell]  3 B 1.73-1.77
B 0.0000 0.0000 0.6827 [1 per cell]  2 C 1.65, 1 B 1.73
B 0.0000 0.5000 0.3215 [1 per cell]  2 C 1.62, 1 B 1.70
B 0.0000 0.5000 0.6519 [1 per cell]  3 B 1.70-1.78
B 0.2490 0.5000 0.8648 [2 per cell]  1 C 1.54
B 0.2617 0.0000 0.1539 [2 per cell]  2 C 1.61-1.65, 1 B 1.77
B 0.5000 0.0000 0.6662 [1 per cell]  3 C 1.64-1.67
B 0.5000 0.5000 0.3217 [1 per cell]  2 C 1.62, 1 B 1.70
B 0.5000 0.5000 0.6519 [1 per cell]  3 B 1.70-1.79
C 0.2498 0.5000 0.1646 [2 per cell]  3 B 1.54-1.62
C 0.2552 0.0000 0.8397 [2 per cell]  3 B 1.61-1.65
C 0.5000 0.0000 0.3404 [1 per cell]  3 B 1.65-1.67


[8]
# Nd6P5Se

An optimized crystal structure of Nd6P5Se (PBE-GGA, the Alexandria database).

Summary:
uncorrected formation energy	-1.64	eV/atom

a = 7.2412 Å, b = 12.5326 Å, c = 7.2412 Å
α = 90.00°, β = 109.45°, γ = 90.00°
Last column: nearest neighbours and their distance in Å.
Space group C2/m (No. 12)
Unique sites:
Nd 0.2436 0.0000 0.2550 [4 per cell]  5 P 2.89-2.95, 1 Se 3.02
Nd 0.2443 0.1707 0.7456 [8 per cell]  5 P 2.91-2.96, 1 Se 3.02
P 0.0000 0.0000 0.5000 [2 per cell]  6 Nd 2.89-2.96
P 0.0000 0.1670 0.0000 [4 per cell]  6 Nd 2.95-2.96
P 0.0000 0.3351 0.5000 [4 per cell]  6 Nd 2.91-2.96
Se 0.0000 0.5000 0.0000 [2 per cell]  6 Nd 3.02


[9]
# HoErTlBi

An optimized crystal structure of HoErTlBi (PBE-GGA, the Alexandria database).

Summary:
energy of formation from the pure elements	-1.5	eV per formula unit

a = 7.6635 Å, b = 7.6635 Å, c = 7.6635 Å
α = 90.00°, β = 90.00°, γ = 90.00°
Last column: nearest neighbours and their distance in Å.
Space group F-43m (No. 216)
Unique sites:
Ho 0.0000 0.0000 0.0000 [4 per cell]  4 Bi 3.32, 4 Tl 3.32
Er 0.0000 0.0000 0.5000 [4 per cell]  4 Tl 3.32, 4 Bi 3.32
Tl 0.2500 0.2500 0.2500 [4 per cell]  4 Ho 3.32, 4 Er 3.32
Bi 0.2500 0.2500 0.7500 [4 per cell]  4 Ho 3.32, 4 Er 3.32


[10]
# Ac3MgAl2Pt9

An optimized crystal structure of Ac3MgAl2Pt9 (PBE-GGA, the Alexandria database).

Summary:
energy of formation from the pure elements	-12.3	eV per formula unit

a = 5.9229 Å, b = 5.9229 Å, c = 11.0751 Å
α = 90.00°, β = 90.00°, γ = 120.00°
Last column: nearest neighbours and their distance in Å.
Space group P-3m1 (No. 164)
Unique sites:
Ac 0.0000 0.0000 0.0000 [1 per cell]  6 Pt 2.96
Ac 0.3333 0.6667 0.6151 [2 per cell]  6 Pt 3.06
Mg 0.0000 0.0000 0.5000 [1 per cell]  6 Pt 2.62
Al 0.3333 0.6667 0.1635 [2 per cell]  6 Pt 2.45-2.49
Pt 0.0000 0.5000 0.0000 [3 per cell]  2 Al 2.49
Pt 0.1602 0.3204 0.3158 [6 per cell]  1 Al 2.45, 1 Mg 2.62


[11]
# SrMn2Cr

An optimized crystal structure of SrMn2Cr (PBE-GGA, the Alexandria database).

Summary:
energy above the most stable polymorph in this dataset	0	meV per atom
energy of formation from the pure elements	1.7	eV per formula unit

a = 4.1695 Å, b = 4.1695 Å, c = 17.2113 Å
α = 90.00°, β = 90.00°, γ = 120.00°
Last column: nearest neighbours and their distance in Å.
Space group R-3m (No. 166, hexagonal axes)
Unique sites:
Sr 0.0000 0.0000 0.0000 [3 per cell]  8 Mn 3.32-3.45
Mn 0.0000 0.0000 0.2002 [6 per cell]  3 Cr 2.48, 3 Mn 2.67
Cr 0.0000 0.0000 0.5000 [3 per cell]  6 Mn 2.48


[12]
# Fe2HOsPt

An optimized crystal structure of Fe2HOsPt (PBE-GGA, the Alexandria database).

Summary:
total energy	-7.335	eV/atom

a = 3.7732 Å, b = 3.7732 Å, c = 3.7242 Å
α = 90.00°, β = 90.00°, γ = 90.00°
Last column: nearest neighbours and their distance in Å.
Space group P4/mmm (No. 123)
Unique sites:
Fe 0.0000 0.5000 0.0000 [2 per cell]  2 H 1.89
H 0.0000 0.0000 0.0000 [1 per cell]  2 Os 1.86, 4 Fe 1.89
Os 0.0000 0.0000 0.5000 [1 per cell]  2 H 1.86
Pt 0.5000 0.5000 0.5000 [1 per cell]  8 Fe 2.65, 4 Os 2.67


[13]
# NdY4Ho2Tm2

An optimized crystal structure of NdY4Ho2Tm2 (PBE-GGA, the Alexandria database).

Summary:
energy of formation from the pure elements	0.0	eV per formula unit

a = 18.6231 Å, b = 3.5861 Å, c = 9.5288 Å
α = 90.00°, β = 115.74°, γ = 90.00°
Last column: nearest neighbours and their distance in Å.
Space group C2/m (No. 12)
Unique sites:
Nd 0.0000 0.0000 0.0000 [2 per cell]  6 Y 3.54-3.55, 2 Nd 3.59, 4 Tm 3.61
Y 0.0187 0.5000 0.3361 [4 per cell]  5 Y 3.48-3.60, 4 Ho 3.53-3.58, 2 Nd 3.55, 1 Tm 3.56
Y 0.1861 0.0000 0.3342 [4 per cell]  6 Y 3.51-3.60, 3 Ho 3.54-3.57, 1 Nd 3.54, 2 Tm 3.55
Ho 0.1487 0.0000 0.6681 [4 per cell]  3 Tm 3.50-3.51, 7 Y 3.53-3.58, 2 Ho 3.59
Tm 0.1683 0.5000 0.9997 [4 per cell]  3 Ho 3.50-3.51, 4 Tm 3.53-3.59, 3 Y 3.55-3.56, 2 Nd 3.61


[14]
# Pm4N3F

An optimized crystal structure of Pm4N3F (PBE-GGA, the Alexandria database).

Summary:
energy above the most stable polymorph in this dataset	97	meV per atom
uncorrected formation energy	-1.67	eV/atom

a = 5.0958 Å, b = 5.0958 Å, c = 5.0958 Å
α = 90.00°, β = 90.00°, γ = 90.00°
Last column: nearest neighbours and their distance in Å.
Space group Pm-3m (No. 221)
Unique sites:
Pm 0.0000 0.0000 0.0000 [1 per cell]  6 N 2.55
Pm 0.0000 0.5000 0.5000 [3 per cell]  2 F 2.55, 4 N 2.55
N 0.0000 0.0000 0.5000 [3 per cell]  6 Pm 2.55
F 0.5000 0.5000 0.5000 [1 per cell]  6 Pm 2.55


[15]
# HoCo3Sn5

An optimized crystal structure of HoCo3Sn5 (PBE-GGA, the Alexandria database).

Summary:
energy of formation from the pure elements	-1.1	eV per formula unit

a = 11.1473 Å, b = 8.7875 Å, c = 9.4125 Å
α = 90.00°, β = 120.48°, γ = 90.00°
Last column: nearest neighbours and their distance in Å.
Space group C2/m (No. 12)
Unique sites:
Ho 0.0950 0.0000 0.3023 [4 per cell]  3 Co 2.48-2.71
Co 0.0000 0.0000 0.0000 [2 per cell]  2 Ho 2.48, 4 Sn 2.53-2.61
Co 0.0000 0.0000 0.5000 [2 per cell]  4 Sn 2.55, 2 Ho 2.57
Co 0.1446 0.5000 0.6531 [4 per cell]  5 Sn 2.45-2.53, 1 Ho 2.71
Co 0.1914 0.5000 0.1791 [4 per cell]  6 Sn 2.50-2.63
Sn 0.0000 0.2968 0.0000 [4 per cell]  3 Co 2.61-2.63
Sn 0.0828 0.5000 0.3553 [4 per cell]  3 Co 2.50-2.52
Sn 0.1595 0.2219 0.6607 [8 per cell]  3 Co 2.45-2.55
Sn 0.2405 0.0000 0.0362 [4 per cell]  3 Co 2.50-2.53


[16]
# SrMgRu2

An optimized crystal structure of SrMgRu2 (PBE-GGA, the Alexandria database).

Summary:
energy of formation from the pure elements	1.2	eV per formula unit

a = 3.1755 Å, b = 3.1755 Å, c = 8.2576 Å
α = 90.00°, β = 90.00°, γ = 90.00°
Last column: nearest neighbours and their distance in Å.
Space group P4mm (No. 99)
Unique sites:
Sr 0.0000 0.0000 0.0000 [1 per cell]  4 Sr 3.18, 5 Ru 3.20-3.55
Mg 0.5000 0.5000 0.3620 [1 per cell]  5 Ru 2.83-2.99
Ru 0.0000 0.0000 0.5698 [1 per cell]  4 Ru 2.58, 4 Mg 2.83
Ru 0.5000 0.5000 0.7247 [1 per cell]  4 Ru 2.58


[17]
# CaSc2I

An optimized crystal structure of CaSc2I (PBE-GGA, the Alexandria database).

Summary:
energy above the most stable polymorph in this dataset	0	meV per atom
uncorrected formation energy	0.06	eV/atom

a = 8.7732 Å, b = 8.7732 Å, c = 6.3075 Å
α = 90.00°, β = 90.00°, γ = 90.00°
Last column: nearest neighbours and their distance in Å.
Space group I-42d (No. 122)
Unique sites:
Ca 0.0000 0.0000 0.0000 [4 per cell]  2 I 3.15
Sc 0.1961 0.2500 0.6250 [8 per cell]  2 I 2.90
I 0.0000 0.0000 0.5000 [4 per cell]  4 Sc 2.90, 2 Ca 3.15


[18]
# Th2MgPd3

An optimized crystal structure of Th2MgPd3 (PBE-GGA, the Alexandria database).

Summary:
energy of formation from the pure elements	-3.7	eV per formula unit

a = 4.5155 Å, b = 5.6225 Å, c = 10.9787 Å
α = 90.00°, β = 90.00°, γ = 90.00°
Last column: nearest neighbours and their distance in Å.
Space group Immm (No. 71)
Unique sites:
Th 0.0000 0.0000 0.1778 [4 per cell]  6 Pd 2.85-3.05
Mg 0.0000 0.0000 0.5000 [2 per cell]  6 Pd 2.70-2.81
Pd 0.0000 0.5000 0.1355 [4 per cell]  2 Mg 2.70, 2 Th 2.85, 1 Pd 2.97
Pd 0.0000 0.5000 0.5000 [2 per cell]  2 Mg 2.81, 4 Th 2.98


[19]
# MgFe2HgBr

An optimized crystal structure of MgFe2HgBr (PBE-GGA, the Alexandria database).

Summary:
uncorrected formation energy	0.91	eV/atom

a = 5.0239 Å, b = 5.0239 Å, c = 5.2990 Å
α = 90.00°, β = 90.00°, γ = 90.00°
Last column: nearest neighbours and their distance in Å.
Space group P4/mmm (No. 123)
Unique sites:
Mg 0.0000 0.0000 0.0000 [1 per cell]  2 Hg 2.65
Fe 0.0000 0.5000 0.5000 [2 per cell]  2 Hg 2.51
Hg 0.0000 0.0000 0.5000 [1 per cell]  4 Fe 2.51, 2 Mg 2.65
Br 0.5000 0.5000 0.0000 [1 per cell]  4 Mg 3.55, 8 Fe 3.65


[20]
# Al2AgAu8

An optimized crystal structure of Al2AgAu8 (PBE-GGA, the Alexandria database).

Summary:
energy of formation from the pure elements	-2.0	eV per formula unit

a = 14.5432 Å, b = 4.2131 Å, c = 6.7486 Å
α = 90.00°, β = 111.25°, γ = 90.00°
Last column: nearest neighbours and their distance in Å.
Space group C2/m (No. 12)
Unique sites:
Al 0.2166 0.0000 0.1569 [4 per cell]  7 Au 2.64-2.73
Ag 0.0000 0.5000 0.5000 [2 per cell]  12 Au 2.81-3.06
Au 0.0438 0.0000 0.2281 [4 per cell]  1 Al 2.72, 6 Au 2.87-3.02, 2 Ag 3.01
Au 0.1066 0.5000 0.9648 [4 per cell]  3 Al 2.68-2.97, 5 Au 2.89-2.97, 1 Ag 2.95
Au 0.1553 0.0000 0.7260 [4 per cell]  3 Al 2.72-2.73, 6 Au 2.89-3.02
Au 0.1790 0.5000 0.4307 [4 per cell]  1 Al 2.64, 1 Ag 2.81, 5 Au 2.86-2.93